Record 1
Ac4TmBi5 | PBE | optimized geometry

Output
E_form = -0.927 eV per atom

Cell lengths 10.7133, 10.7133, 6.8133 Å; angles 90.00, 90.00, 90.00 degrees
Space group I4/m (No. 87)
Asymmetric unit:
Ac (0.0949, 0.3004, 0.0000) [8 per cell]
Tm (0.0000, 0.0000, 0.5000) [2 per cell]
Bi (0.0000, 0.0000, 0.0000) [2 per cell]
Bi (0.0964, 0.2858, 0.5000) [8 per cell]

Record 2
MnTl2P | PBE | optimized geometry

Output
E_form = 0.509 eV per atom

Cell lengths 4.5262, 4.5262, 8.7219 Å; angles 90.00, 90.00, 90.00 degrees
Space group I-4m2 (No. 119)
Asymmetric unit:
Mn (0.0000, 0.0000, 0.0000) [2 per cell]
Tl (0.0000, 0.0000, 0.5000) [2 per cell]
Tl (0.0000, 0.5000, 0.2500) [2 per cell]
P (0.0000, 0.5000, 0.7500) [2 per cell]

Record 3
DyTl2PbF6 | PBE | optimized geometry

Output
E_form (uncorrected) = -2.579 eV per atom

Cell lengths 6.2416, 9.3050, 7.2304 Å; angles 90.00, 90.00, 90.00 degrees
Space group Pmmn (No. 59, origin choice 2)
Asymmetric unit:
Dy (0.2500, 0.2500, 0.2267) [2 per cell]
Tl (0.2500, 0.5020, 0.7784) [4 per cell]
Pb (0.2500, 0.7500, 0.2786) [2 per cell]
F (0.0072, 0.2500, 0.0048) [4 per cell]
F (0.0119, 0.7500, 0.5742) [4 per cell]
F (0.2500, 0.0136, 0.2115) [4 per cell]

Record 4
BeCdPt2 | PBE | optimized geometry

Output
E_form = -0.560 eV per atom

Cell lengths 2.8537, 2.8539, 7.1274 Å; angles 90.00, 90.05, 90.00 degrees
Space group P2/m (No. 10)
Asymmetric unit:
Be (0.0000, 0.0000, 0.0000) [1 per cell]
Cd (0.0000, 0.0000, 0.5000) [1 per cell]
Pt (0.4973, 0.5000, 0.8007) [2 per cell]

Record 5
Pm2TmSnC | PBE | optimized geometry

Output
E_form = -0.550 eV per atom

Cell lengths 5.0651, 5.0651, 4.8252 Å; angles 90.00, 90.00, 90.00 degrees
Space group P4/mmm (No. 123)
Asymmetric unit:
Pm (0.0000, 0.5000, 0.0000) [2 per cell]
Tm (0.0000, 0.0000, 0.5000) [1 per cell]
Sn (0.5000, 0.5000, 0.5000) [1 per cell]
C (0.0000, 0.0000, 0.0000) [1 per cell]

Record 6
ZrTaBr2 | PBE | optimized geometry

Output
E_form (uncorrected) = -0.209 eV per atom

Cell lengths 14.7432, 3.3960, 4.6187 Å; angles 90.00, 94.82, 90.00 degrees
Space group C2/m (No. 12)
Asymmetric unit:
Zr (0.0000, 0.0000, 0.0000) [2 per cell]
Ta (0.0000, 0.5000, 0.5000) [2 per cell]
Br (0.1462, 0.5000, 0.2179) [4 per cell]

Record 7
HoVN | PBE | optimized geometry

Output
E_form (uncorrected) = 0.362 eV per atom

Cell lengths 4.0667, 4.0667, 7.4546 Å; angles 90.00, 90.00, 90.00 degrees
Space group I4mm (No. 107)
Asymmetric unit:
Ho (0.0000, 0.0000, 0.0000) [2 per cell]
V (0.0000, 0.0000, 0.4759) [2 per cell]
N (0.0000, 0.0000, 0.7024) [2 per cell]

Record 8
K3Np3PdSe8 | PBE | optimized geometry

Output
E_form (uncorrected) = -1.072 eV per atom

Cell lengths 14.7217, 8.0094, 9.2210 Å; angles 90.00, 122.97, 90.00 degrees
Space group C2/m (No. 12)
Asymmetric unit:
K (0.0000, 0.0000, 0.0000) [2 per cell]
K (0.2500, 0.2500, 0.0000) [4 per cell]
Np (0.0000, 0.5000, 0.5000) [2 per cell]
Np (0.2500, 0.2500, 0.5000) [4 per cell]
Pd (0.0000, 0.0000, 0.5000) [2 per cell]
Se (0.0169, 0.2242, 0.3191) [8 per cell]
Se (0.2084, 0.5000, 0.2609) [4 per cell]
Se (0.2342, 0.5000, 0.7091) [4 per cell]

DOS(E_F) for every record listed, in sequence, given in states/eV per atom: 0.047, 0.495, 0.255, 0.283, 0.420, 0.791, 0.880, 1.708.
Total moment for every record listed, in sequence, given in μB per cell: 0.000, 8.544, 0.000, 0.000, 0.000, 0.000, 1.728, 20.000.